Entry from Alexandria: an optimized crystal structure of CrReAg2W (PBEsol).

a = 4.581 Å, b = 4.581 Å, c = 4.280 Å
α = 90.00°, β = 90.00°, γ = 90.00°
Atoms (fractional coordinates):
Cr 0.000 0.000 0.000
Re 0.000 0.000 0.500
Ag 0.000 0.500 0.000
Ag 0.500 0.000 0.000
W 0.500 0.500 0.500

Results
energy of formation = 2131 meV per atom
crystal system = tetragonal
DOS at the Fermi energy = 5.0 states/eV per cell

---

Entry from Alexandria: an optimized crystal structure of NiRu2Rh (PBEsol).

a = 2.627 Å, b = 3.723 Å, c = 5.199 Å
α = 90.00°, β = 90.00°, γ = 90.00°
Atoms (fractional coordinates):
Ni 0.000 0.000 0.000
Ru 0.500 0.500 0.237
Ru 0.500 0.500 0.763
Rh 0.000 0.000 0.500

Results
energy of formation = 122 meV per atom
crystal system = orthorhombic
DOS at the Fermi energy = 5.7 states/eV per cell

---

Entry from Alexandria: an optimized crystal structure of HfTc3Mo (PBEsol).

a = 4.551 Å, b = 4.551 Å, c = 4.551 Å
α = 90.00°, β = 90.00°, γ = 90.00°
Atoms (fractional coordinates):
Hf 0.000 0.000 0.000
Tc 0.000 0.500 0.500
Tc 0.500 0.000 0.500
Tc 0.500 0.500 0.000
Mo 0.500 0.500 0.500

Results
energy of formation = 1232 meV per atom
crystal system = cubic
DOS at the Fermi energy = 3.8 states/eV per cell

---

Entry from Alexandria: an optimized crystal structure of NaZn2Au2 (PBEsol).

a = 5.781 Å, b = 5.781 Å, c = 5.781 Å
α = 134.25°, β = 134.25°, γ = 66.69°
Atoms (fractional coordinates):
Na 0.000 0.000 0.000
Zn 0.375 0.375 0.000
Zn 0.625 0.625 0.000
Au 0.250 0.750 0.500
Au 0.750 0.250 0.500

Results
energy of formation = -147 meV per atom
crystal system = tetragonal
DOS at the Fermi energy = 1.3 states/eV per cell

---

Entry from Alexandria: an optimized crystal structure of HfMnAs2Pd (PBEsol).

a = 4.457 Å, b = 4.457 Å, c = 4.641 Å
α = 90.00°, β = 90.00°, γ = 90.00°
Atoms (fractional coordinates):
Hf 0.000 0.000 0.000
Mn 0.500 0.500 0.500
As 0.000 0.500 0.500
As 0.500 0.000 0.500
Pd 0.500 0.500 0.000

Results
energy of formation = 303 meV per atom
crystal system = tetragonal
DOS at the Fermi energy = 3.3 states/eV per cell

---

Entry from Alexandria: an optimized crystal structure of SbRuPb2 (PBEsol).

a = 3.299 Å, b = 3.299 Å, c = 8.324 Å
α = 90.00°, β = 90.00°, γ = 90.00°
Atoms (fractional coordinates):
Sb 0.000 0.000 0.000
Ru 0.000 0.000 0.500
Pb 0.500 0.500 0.299
Pb 0.500 0.500 0.701

Results
uncorrected formation energy = 338.4 meV per atom
crystal system = tetragonal
DOS at the Fermi energy = 2.8 states/eV per cell

---

Entry from Alexandria: an optimized crystal structure of Mg4Cd5 (PBEsol).

a = 6.891 Å, b = 6.891 Å, c = 6.891 Å
α = 95.95°, β = 95.95°, γ = 142.45°
Atoms (fractional coordinates):
Mg 0.000 0.326 0.326
Mg 0.000 0.674 0.674
Mg 0.326 0.000 0.326
Mg 0.674 0.000 0.674
Cd 0.000 0.000 0.000
Cd 0.333 0.333 0.666
Cd 0.333 0.667 0.000
Cd 0.667 0.333 0.000
Cd 0.667 0.667 0.334

Results
energy of formation = -82 meV per atom
crystal system = tetragonal
DOS at the Fermi energy = 3.1 states/eV per cell

---

Entry from Alexandria: an optimized crystal structure of SrZrHg3 (PBEsol).

a = 5.534 Å, b = 5.534 Å, c = 5.534 Å
α = 90.00°, β = 90.00°, γ = 90.00°
Atoms (fractional coordinates):
Sr 0.000 0.000 0.000
Zr 0.500 0.500 0.500
Hg 0.000 0.000 0.500
Hg 0.000 0.500 0.000
Hg 0.500 0.000 0.000

Results
energy of formation = 992 meV per atom
crystal system = cubic
DOS at the Fermi energy = 5.0 states/eV per cell

---

Entry from Alexandria: an optimized crystal structure of NiH2Pt2 (PBEsol).

a = 5.179 Å, b = 5.179 Å, c = 3.663 Å
α = 90.00°, β = 90.00°, γ = 90.00°
Atoms (fractional coordinates):
Ni 0.000 0.000 0.000
Ni 0.500 0.500 0.000
H 0.184 0.316 0.000
H 0.316 0.816 0.000
H 0.684 0.184 0.000
H 0.816 0.684 0.000
Pt 0.185 0.315 0.500
Pt 0.315 0.815 0.500
Pt 0.685 0.185 0.500
Pt 0.815 0.685 0.500

Results
crystal system = tetragonal
DOS at the Fermi energy = 6.9 states/eV per cell

---

Entry from Alexandria: an optimized crystal structure of TbGe2Ru2 (PBEsol).

a = 5.729 Å, b = 5.729 Å, c = 5.729 Å
α = 137.01°, β = 137.01°, γ = 62.42°
Atoms (fractional coordinates):
Tb 0.000 0.000 0.000
Ge 0.371 0.371 0.000
Ge 0.629 0.629 0.000
Ru 0.250 0.750 0.500
Ru 0.750 0.250 0.500

Results
energy of formation = -658 meV per atom
crystal system = tetragonal
DOS at the Fermi energy = 2.9 states/eV per cell

---

Entry from Alexandria: an optimized crystal structure of ReTePN2 (PBEsol).

a = 3.827 Å, b = 3.827 Å, c = 5.676 Å
α = 90.00°, β = 90.00°, γ = 90.00°
Atoms (fractional coordinates):
Re 0.000 0.000 0.000
Te 0.000 0.000 0.500
P 0.500 0.500 0.500
N 0.000 0.500 0.000
N 0.500 0.000 0.000

Results
uncorrected formation energy = 659.7 meV per atom
crystal system = tetragonal
DOS at the Fermi energy = 3.0 states/eV per cell

---

Entry from Alexandria: an optimized crystal structure of KBi2As2 (PBEsol).

a = 6.594 Å, b = 6.594 Å, c = 6.594 Å
α = 131.40°, β = 131.40°, γ = 71.18°
Atoms (fractional coordinates):
K 0.000 0.000 0.000
Bi 0.346 0.346 0.000
Bi 0.654 0.654 0.000
As 0.250 0.750 0.500
As 0.750 0.250 0.500

Results
energy of formation = -135 meV per atom
crystal system = tetragonal
DOS at the Fermi energy = 1.4 states/eV per cell

---

Entry from Alexandria: an optimized crystal structure of NbSnPS2 (PBEsol).

a = 4.740 Å, b = 4.740 Å, c = 4.896 Å
α = 90.00°, β = 90.00°, γ = 90.00°
Atoms (fractional coordinates):
Nb 0.000 0.000 0.000
Sn 0.500 0.500 0.500
P 0.000 0.000 0.500
S 0.000 0.500 0.000
S 0.500 0.000 0.000

Results
uncorrected formation energy = -172.0 meV per atom
crystal system = tetragonal
DOS at the Fermi energy = 2.3 states/eV per cell

---

Entry from Alexandria: an optimized crystal structure of ZrIrRu2 (PBEsol).

a = 4.820 Å, b = 4.820 Å, c = 4.820 Å
α = 132.14°, β = 132.14°, γ = 70.01°
Atoms (fractional coordinates):
Zr 0.000 0.000 0.000
Ir 0.250 0.750 0.500
Ru 0.500 0.500 0.000
Ru 0.750 0.250 0.500

Results
energy of formation = -270 meV per atom
crystal system = tetragonal
DOS at the Fermi energy = 4.3 states/eV per cell

---

Entry from Alexandria: an optimized crystal structure of Cr2OsCl (PBEsol).

a = 3.859 Å, b = 3.859 Å, c = 7.411 Å
α = 115.55°, β = 115.55°, γ = 42.87°
Atoms (fractional coordinates):
Cr 0.174 0.174 0.304
Cr 0.826 0.826 0.696
Os 0.000 0.000 0.500
Cl 0.500 0.500 0.000

Results
uncorrected formation energy = 473.6 meV per atom
crystal system = monoclinic
DOS at the Fermi energy = 3.2 states/eV per cell

---

Entry from Alexandria: an optimized crystal structure of Ce5NiGe2 (PBEsol).

a = 11.484 Å, b = 11.484 Å, c = 5.386 Å
α = 90.00°, β = 90.00°, γ = 90.00°
Atoms (fractional coordinates):
Ce 0.033 0.174 0.250
Ce 0.033 0.326 0.750
Ce 0.174 0.033 0.750
Ce 0.174 0.467 0.250
Ce 0.250 0.750 0.000
Ce 0.250 0.750 0.500
Ce 0.326 0.033 0.250
Ce 0.326 0.467 0.750
Ce 0.467 0.174 0.750
Ce 0.467 0.326 0.250
Ce 0.533 0.674 0.750
Ce 0.533 0.826 0.250
Ce 0.674 0.533 0.250
Ce 0.674 0.967 0.750
Ce 0.750 0.250 0.000
Ce 0.750 0.250 0.500
Ce 0.826 0.533 0.750
Ce 0.826 0.967 0.250
Ce 0.967 0.674 0.250
Ce 0.967 0.826 0.750
Ni 0.250 0.250 0.002
Ni 0.250 0.250 0.502
Ni 0.750 0.750 0.498
Ni 0.750 0.750 0.998
Ge 0.086 0.586 0.750
Ge 0.086 0.914 0.250
Ge 0.414 0.586 0.250
Ge 0.414 0.914 0.750
Ge 0.586 0.086 0.250
Ge 0.586 0.414 0.750
Ge 0.914 0.086 0.750
Ge 0.914 0.414 0.250

Results
energy of formation = -402 meV per atom
crystal system = tetragonal
DOS at the Fermi energy = 87.3 states/eV per cell

---

Entry from Alexandria: an optimized crystal structure of RbCoPCl2 (PBEsol).

a = 5.898 Å, b = 5.898 Å, c = 6.025 Å
α = 90.00°, β = 90.00°, γ = 90.00°
Atoms (fractional coordinates):
Rb 0.000 0.000 0.000
Co 0.500 0.500 0.500
P 0.000 0.000 0.500
Cl 0.000 0.500 0.000
Cl 0.500 0.000 0.000

Results
uncorrected formation energy = 1244.9 meV per atom
crystal system = tetragonal
DOS at the Fermi energy = 7.9 states/eV per cell

---

Entry from Alexandria: an optimized crystal structure of ZnIn3F (PBEsol).

a = 5.085 Å, b = 5.085 Å, c = 5.085 Å
α = 90.00°, β = 90.00°, γ = 90.00°
Atoms (fractional coordinates):
Zn 0.000 0.000 0.000
In 0.000 0.000 0.500
In 0.000 0.500 0.000
In 0.500 0.000 0.000
F 0.500 0.500 0.500

Results
uncorrected formation energy = -102.5 meV per atom
crystal system = cubic
DOS at the Fermi energy = 2.4 states/eV per cell

---

Entry from Alexandria: an optimized crystal structure of MnCrSb2 (PBEsol).

a = 3.969 Å, b = 3.969 Å, c = 5.555 Å
α = 90.00°, β = 90.00°, γ = 120.00°
Atoms (fractional coordinates):
Mn 0.000 0.000 0.000
Cr 0.000 0.000 0.500
Sb 0.333 0.667 0.248
Sb 0.667 0.333 0.752

Results
uncorrected formation energy = 89.0 meV per atom
crystal system = trigonal
DOS at the Fermi energy = 2.4 states/eV per cell

---

Entry from Alexandria: an optimized crystal structure of Ag2As2Pb (PBEsol).

a = 6.267 Å, b = 6.267 Å, c = 6.267 Å
α = 138.59°, β = 138.59°, γ = 60.00°
Atoms (fractional coordinates):
Ag 0.250 0.750 0.500
Ag 0.750 0.250 0.500
As 0.114 0.114 0.000
As 0.886 0.886 0.000
Pb 0.500 0.500 0.000

Results
energy of formation = 100 meV per atom
crystal system = tetragonal
DOS at the Fermi energy = 1.5 states/eV per cell

---

Entry from Alexandria: an optimized crystal structure of LiPPb2 (PBEsol).

a = 5.099 Å, b = 5.099 Å, c = 5.099 Å
α = 60.00°, β = 60.00°, γ = 60.00°
Atoms (fractional coordinates):
Li 0.000 0.000 0.000
P 0.750 0.750 0.750
Pb 0.250 0.250 0.250
Pb 0.500 0.500 0.500

Results
energy of formation = 161 meV per atom
crystal system = cubic
DOS at the Fermi energy = 3.6 states/eV per cell

---

Entry from Alexandria: an optimized crystal structure of TlCr2PdW (PBEsol).

a = 4.897 Å, b = 4.897 Å, c = 5.051 Å
α = 90.00°, β = 90.00°, γ = 90.00°
Atoms (fractional coordinates):
Tl 0.000 0.000 0.000
Cr 0.000 0.500 0.000
Cr 0.500 0.000 0.000
Pd 0.500 0.500 0.500
W 0.000 0.000 0.500

Results
energy of formation = 2474 meV per atom
crystal system = tetragonal
DOS at the Fermi energy = 5.5 states/eV per cell

---

Entry from Alexandria: an optimized crystal structure of CsTe2AsP (PBEsol).

a = 5.487 Å, b = 5.487 Å, c = 4.909 Å
α = 90.00°, β = 90.00°, γ = 90.00°
Atoms (fractional coordinates):
Cs 0.000 0.000 0.000
Te 0.000 0.500 0.500
Te 0.500 0.000 0.500
As 0.500 0.500 0.000
P 0.500 0.500 0.500

Results
uncorrected formation energy = 76.4 meV per atom
crystal system = tetragonal
DOS at the Fermi energy = 4.6 states/eV per cell

---

Entry from Alexandria: an optimized crystal structure of HAuO2 (PBEsol).

a = 3.054 Å, b = 6.865 Å, c = 4.475 Å
α = 90.00°, β = 90.00°, γ = 90.00°
Atoms (fractional coordinates):
H 0.000 0.250 0.000
H 0.500 0.750 0.500
Au 0.000 0.749 0.003
Au 0.500 0.251 0.503
O 0.000 0.168 0.764
O 0.000 0.333 0.242
O 0.500 0.667 0.742
O 0.500 0.832 0.264

Results
crystal system = orthorhombic

---

Entry from Alexandria: an optimized crystal structure of LiAl2 (PBEsol).

a = 4.437 Å, b = 4.437 Å, c = 2.878 Å
α = 90.00°, β = 90.00°, γ = 120.00°
Atoms (fractional coordinates):
Li 0.000 0.000 0.000
Al 0.333 0.667 0.639
Al 0.667 0.333 0.361

Results
energy of formation = -21 meV per atom
crystal system = trigonal
DOS at the Fermi energy = 1.3 states/eV per cell

---

Entry from Alexandria: an optimized crystal structure of K3SrB (PBEsol).

a = 6.239 Å, b = 6.239 Å, c = 6.239 Å
α = 90.00°, β = 90.00°, γ = 90.00°
Atoms (fractional coordinates):
K 0.000 0.000 0.500
K 0.000 0.500 0.000
K 0.500 0.000 0.000
Sr 0.500 0.500 0.500
B 0.000 0.000 0.000

Results
energy of formation = 861 meV per atom
crystal system = cubic
DOS at the Fermi energy = 5.4 states/eV per cell

---

Entry from Alexandria: an optimized crystal structure of CaGa2Pt2 (PBEsol).

a = 6.281 Å, b = 6.281 Å, c = 6.281 Å
α = 141.93°, β = 141.93°, γ = 54.93°
Atoms (fractional coordinates):
Ca 0.000 0.000 0.000
Ga 0.250 0.750 0.500
Ga 0.750 0.250 0.500
Pt 0.382 0.382 0.000
Pt 0.618 0.618 0.000

Results
energy of formation = -815 meV per atom
crystal system = tetragonal
DOS at the Fermi energy = 2.3 states/eV per cell

---

It is found that the calculated total energy values, taken in the order of the records, are -0.24511 -0.31377 -0.36682 -0.09662 -0.25666 -0.19637 -0.05548 -0.05638 -0.19722 -0.28314 -0.26757 -0.15136 -0.22417 -0.37059 -0.30147 -0.23992 -0.09073 -0.09533 -0.26424 -0.14946 -0.13883 -0.22423 -0.13605 -0.17846 -0.12509 -0.05843 -0.19708 hartree per atom.
It is found that the calculated volume values, taken in the order of the records, are 17.97 12.71 18.85 19.51 18.44 22.65 20.98 33.90 9.83 17.27 16.63 31.58 22.00 15.09 16.64 22.20 41.91 26.30 18.95 21.31 23.43 24.22 29.56 11.73 16.36 48.58 18.71 Å³/atom.